The following is a DFT calculation (PBE with a Hubbard U) of CaMn2NbO6 after structural relaxation.

The structure in CIF format:
```
data_CaMn2NbO6
_cell_length_a 5.3249
_cell_length_b 5.3373
_cell_length_c 5.7927
_cell_angle_alpha 62.74
_cell_angle_beta 62.83
_cell_angle_gamma 60.12
_symmetry_space_group_name_H-M 'P 1'
_symmetry_Int_Tables_number 1
loop_
_symmetry_equiv_pos_as_xyz
'x,y,z'
loop_
_atom_site_label
_atom_site_fract_x
_atom_site_fract_y
_atom_site_fract_z
Ca1 0.0000 0.0000 0.0000
Mn1 0.2097 0.2096 0.3711
Mn2 0.7237 0.7233 0.8277
Nb1 0.5161 0.5176 0.4467
O1 0.1397 0.8082 0.6224
O2 0.3530 0.5526 0.1651
O3 0.4253 0.1406 0.6240
O4 0.5528 0.9270 0.1674
O5 0.8079 0.4260 0.6241
O6 0.9256 0.3537 0.1667
```

Calculated values
volume: 12.12 Å³ per atom
E_tot: -78.22 eV for the cell shown
magnetic moment: 7.00 μB/cell
N(E_F): 0.00 states/eV per cell